No. 1
DFT (PBE) results for a geometry-optimized Er2Zr2Ir3 structure.

abc: 4.650 4.653 8.309
angles: 90.02 106.23 120.04
Element x y z (fractional)
Zr (0.247, 0.623, 0.870)
Ir (0.486, 0.743, 0.230)
Zr (0.753, 0.377, 0.130)
Ir (0.000, 0.000, 0.000)
Ir (0.514, 0.257, 0.770)
Er (0.747, 0.874, 0.621)
Er (0.253, 0.126, 0.379)

Calculated values
As for the space group: R-3m (166). Its energy relative to the elements is -0.83 eV per atom.

No. 2
DFT (PBE) results for a geometry-optimized Al4CoOs structure.

abc: 4.914 4.914 4.914
angles: 60.00 60.00 60.00
Site moments in Bohr magnetons follow the coordinates.
Element x y z (fractional)
Co (0.250, 0.250, 0.250)  0.98
Os (0.000, 0.000, 0.000)  0.02
Al (0.625, 0.625, 0.125)  -0.01
Al (0.625, 0.125, 0.625)  -0.01
Al (0.625, 0.625, 0.625)  -0.01
Al (0.125, 0.625, 0.625)  -0.01

Calculated values
As for the space group: F-43m (216). Its energy relative to the elements is 0.19 eV per atom.

No. 3
DFT (PBE) results for a geometry-optimized CrTc2Os5 structure.

abc: 5.434 5.434 5.434
angles: 120.03 120.03 89.94
Site moments in Bohr magnetons follow the coordinates.
Element x y z (fractional)
Tc (0.278, 0.778, 0.500)  -0.16
Os (0.278, 0.778, 0.000)  -0.06
Os (0.278, 0.278, 0.000)  0.03
Os (0.278, 0.278, 0.500)  -0.06
Os (0.778, 0.278, 0.000)  -0.06
Os (0.778, 0.778, 0.500)  -0.06
Cr (0.778, 0.778, 0.000)  1.11
Tc (0.778, 0.278, 0.500)  -0.16

Calculated values
As for the space group: I4/mmm (139). Its energy relative to the elements is 0.08 eV per atom.